Entry 1
First-principles (GGA-PBE) data for a relaxed HfBe2Cr2 crystal, as listed in Alexandria via LeMat-Bulk.

Geometry as CIF:
```
data_HfBe2Cr2
_symmetry_space_group_name_H-M 'P 1'
_symmetry_Int_Tables_number 1
_symmetry_space_group_name_Hall 'P 1'
_cell_length_a 3.852
_cell_length_b 3.852
_cell_length_c 8.702
_cell_angle_alpha 90.00
_cell_angle_beta 90.00
_cell_angle_gamma 90.00
loop_
_atom_site_label
_atom_site_fract_x
_atom_site_fract_y
_atom_site_fract_z
_atom_site_occupancy
Hf1 0.000 0.000 0.000 1
Hf2 0.500 0.500 0.500 1
Be1 0.000 0.500 0.250 1
Be2 0.000 0.500 0.750 1
Be3 0.500 0.000 0.250 1
Be4 0.500 0.000 0.750 1
Cr1 0.000 0.000 0.387 1
Cr2 0.000 0.000 0.613 1
Cr3 0.500 0.500 0.113 1
Cr4 0.500 0.500 0.887 1
```

Values from the calculation:
Volume: 129.1 Å³ per cell
M_tot: 0.00 μB/f.u.


Entry 2
First-principles (GGA-PBE) data for a relaxed HfBe2Cr2 crystal, as listed in Alexandria via LeMat-Bulk.

Geometry as CIF:
```
data_HfBe2Cr2
_symmetry_space_group_name_H-M 'P 1'
_symmetry_Int_Tables_number 1
_symmetry_space_group_name_Hall 'P 1'
_cell_length_a 6.299
_cell_length_b 6.299
_cell_length_c 3.060
_cell_angle_alpha 90.00
_cell_angle_beta 90.00
_cell_angle_gamma 90.00
loop_
_atom_site_label
_atom_site_fract_x
_atom_site_fract_y
_atom_site_fract_z
_atom_site_occupancy
Hf1 0.000 0.000 0.000 1
Hf2 0.500 0.500 0.000 1
Be1 0.113 0.387 0.000 1
Be2 0.387 0.887 0.000 1
Be3 0.613 0.113 0.000 1
Be4 0.887 0.613 0.000 1
Cr1 0.174 0.674 0.500 1
Cr2 0.326 0.174 0.500 1
Cr3 0.674 0.826 0.500 1
Cr4 0.826 0.326 0.500 1
```

Values from the calculation:
Volume: 121.4 Å³ per cell
M_tot: 0.00 μB/f.u.


Short version: entry 2 is the most stable of them.


Entry 1
First-principles (GGA-PBE) data for a relaxed HfMn2BeCr crystal, as listed in Alexandria via LeMat-Bulk.

Geometry as CIF:
```
data_HfMn2BeCr
_symmetry_space_group_name_H-M 'P 1'
_symmetry_Int_Tables_number 1
_symmetry_space_group_name_Hall 'P 1'
_cell_length_a 4.172
_cell_length_b 4.172
_cell_length_c 4.813
_cell_angle_alpha 90.00
_cell_angle_beta 90.00
_cell_angle_gamma 90.00
loop_
_atom_site_label
_atom_site_fract_x
_atom_site_fract_y
_atom_site_fract_z
_atom_site_occupancy
Hf1 0.000 0.000 0.000 1
Mn1 0.000 0.500 0.500 1
Mn2 0.500 0.000 0.500 1
Be1 0.500 0.500 0.000 1
Cr1 0.000 0.000 0.500 1
```

Values from the calculation:
Volume: 83.8 Å³ per cell
M_tot: 2.71 μB/f.u.


Entry 2
First-principles (GGA-PBE) data for a relaxed HfMn2BeCr crystal, as listed in Alexandria via LeMat-Bulk.

Geometry as CIF:
```
data_HfMn2BeCr
_symmetry_space_group_name_H-M 'P 1'
_symmetry_Int_Tables_number 1
_symmetry_space_group_name_Hall 'P 1'
_cell_length_a 4.170
_cell_length_b 4.170
_cell_length_c 4.174
_cell_angle_alpha 90.00
_cell_angle_beta 90.00
_cell_angle_gamma 90.00
loop_
_atom_site_label
_atom_site_fract_x
_atom_site_fract_y
_atom_site_fract_z
_atom_site_occupancy
Hf1 0.000 0.000 0.000 1
Mn1 0.000 0.500 0.500 1
Mn2 0.500 0.000 0.500 1
Be1 0.500 0.500 0.000 1
Cr1 0.500 0.500 0.500 1
```

Values from the calculation:
Volume: 72.6 Å³ per cell
M_tot: 2.54 μB/f.u.


Short version: entry 2 is the most stable of them.


Entry 1
First-principles (GGA-PBE) data for a relaxed BeCrHg crystal, as listed in Alexandria via LeMat-Bulk.

Geometry as CIF:
```
data_BeCrHg
_symmetry_space_group_name_H-M 'P 1'
_symmetry_Int_Tables_number 1
_symmetry_space_group_name_Hall 'P 1'
_cell_length_a 5.733
_cell_length_b 5.733
_cell_length_c 5.733
_cell_angle_alpha 90.00
_cell_angle_beta 90.00
_cell_angle_gamma 90.00
loop_
_atom_site_label
_atom_site_fract_x
_atom_site_fract_y
_atom_site_fract_z
_atom_site_occupancy
Be1 0.000 0.000 0.000 1
Be2 0.000 0.500 0.500 1
Be3 0.500 0.000 0.500 1
Be4 0.500 0.500 0.000 1
Cr1 0.250 0.250 0.750 1
Cr2 0.250 0.750 0.250 1
Cr3 0.750 0.250 0.250 1
Cr4 0.750 0.750 0.750 1
Hg1 0.250 0.250 0.250 1
Hg2 0.250 0.750 0.750 1
Hg3 0.750 0.250 0.750 1
Hg4 0.750 0.750 0.250 1
```

Values from the calculation:
Volume: 188.4 Å³ per cell
M_tot: 2.99 μB/f.u.


Entry 2
First-principles (GGA-PBE) data for a relaxed BeCrHg crystal, as listed in Alexandria via LeMat-Bulk.

Geometry as CIF:
```
data_BeCrHg
_symmetry_space_group_name_H-M 'P 1'
_symmetry_Int_Tables_number 1
_symmetry_space_group_name_Hall 'P 1'
_cell_length_a 2.999
_cell_length_b 2.999
_cell_length_c 9.956
_cell_angle_alpha 90.00
_cell_angle_beta 90.00
_cell_angle_gamma 90.00
loop_
_atom_site_label
_atom_site_fract_x
_atom_site_fract_y
_atom_site_fract_z
_atom_site_occupancy
Be1 0.000 0.000 0.000 1
Be2 0.500 0.500 0.500 1
Cr1 0.000 0.000 0.370 1
Cr2 0.500 0.500 0.870 1
Hg1 0.000 0.000 0.668 1
Hg2 0.500 0.500 0.168 1
```

Values from the calculation:
Volume: 89.5 Å³ per cell
M_tot: 3.30 μB/f.u.


Entry 3
First-principles (GGA-PBE) data for a relaxed BeCrHg crystal, as listed in Alexandria via LeMat-Bulk.

Geometry as CIF:
```
data_BeCrHg
_symmetry_space_group_name_H-M 'P 1'
_symmetry_Int_Tables_number 1
_symmetry_space_group_name_Hall 'P 1'
_cell_length_a 4.214
_cell_length_b 4.214
_cell_length_c 2.992
_cell_angle_alpha 90.00
_cell_angle_beta 90.00
_cell_angle_gamma 120.00
loop_
_atom_site_label
_atom_site_fract_x
_atom_site_fract_y
_atom_site_fract_z
_atom_site_occupancy
Be1 0.000 0.000 0.000 1
Cr1 0.333 0.667 0.500 1
Hg1 0.667 0.333 0.000 1
```

Values from the calculation:
Volume: 46.0 Å³ per cell
M_tot: 3.43 μB/f.u.


Short version: entry 3 is the most stable of them.


Entry 1
First-principles (GGA-PBE) data for a relaxed BeCr2Hg2 crystal, as listed in Alexandria via LeMat-Bulk.

Geometry as CIF:
```
data_BeCr2Hg2
_symmetry_space_group_name_H-M 'P 1'
_symmetry_Int_Tables_number 1
_symmetry_space_group_name_Hall 'P 1'
_cell_length_a 6.625
_cell_length_b 6.625
_cell_length_c 3.930
_cell_angle_alpha 90.00
_cell_angle_beta 90.00
_cell_angle_gamma 90.00
loop_
_atom_site_label
_atom_site_fract_x
_atom_site_fract_y
_atom_site_fract_z
_atom_site_occupancy
Be1 0.000 0.000 0.000 1
Be2 0.500 0.500 0.000 1
Cr1 0.102 0.398 0.500 1
Cr2 0.398 0.898 0.500 1
Cr3 0.602 0.102 0.500 1
Cr4 0.898 0.602 0.500 1
Hg1 0.187 0.687 0.000 1
Hg2 0.313 0.187 0.000 1
Hg3 0.687 0.813 0.000 1
Hg4 0.813 0.313 0.000 1
```

Values from the calculation:
Volume: 172.5 Å³ per cell
M_tot: 1.31 μB/f.u.


Entry 2
First-principles (GGA-PBE) data for a relaxed BeCr2Hg2 crystal, as listed in Alexandria via LeMat-Bulk.

Geometry as CIF:
```
data_BeCr2Hg2
_symmetry_space_group_name_H-M 'P 1'
_symmetry_Int_Tables_number 1
_symmetry_space_group_name_Hall 'P 1'
_cell_length_a 3.237
_cell_length_b 3.237
_cell_length_c 15.257
_cell_angle_alpha 90.00
_cell_angle_beta 90.00
_cell_angle_gamma 90.00
loop_
_atom_site_label
_atom_site_fract_x
_atom_site_fract_y
_atom_site_fract_z
_atom_site_occupancy
Be1 0.000 0.000 0.000 1
Be2 0.500 0.500 0.500 1
Cr1 0.000 0.500 0.250 1
Cr2 0.000 0.500 0.750 1
Cr3 0.500 0.000 0.250 1
Cr4 0.500 0.000 0.750 1
Hg1 0.000 0.000 0.403 1
Hg2 0.000 0.000 0.597 1
Hg3 0.500 0.500 0.097 1
Hg4 0.500 0.500 0.903 1
```

Values from the calculation:
Volume: 159.8 Å³ per cell
M_tot: 0.00 μB/f.u.


Short version: entry 2 is the most stable of them.


Entry 1
First-principles (GGA-PBE) data for a relaxed Be3CrHg crystal, as listed in Alexandria via LeMat-Bulk.

Geometry as CIF:
```
data_Be3CrHg
_symmetry_space_group_name_H-M 'P 1'
_symmetry_Int_Tables_number 1
_symmetry_space_group_name_Hall 'P 1'
_cell_length_a 4.411
_cell_length_b 4.411
_cell_length_c 4.411
_cell_angle_alpha 90.00
_cell_angle_beta 90.00
_cell_angle_gamma 90.00
loop_
_atom_site_label
_atom_site_fract_x
_atom_site_fract_y
_atom_site_fract_z
_atom_site_occupancy
Be1 0.000 0.000 0.500 1
Be2 0.000 0.500 0.000 1
Be3 0.500 0.000 0.000 1
Cr1 0.500 0.500 0.500 1
Hg1 0.000 0.000 0.000 1
```

Values from the calculation:
Volume: 85.8 Å³ per cell
M_tot: 4.54 μB/f.u.


Entry 2
First-principles (GGA-PBE) data for a relaxed Be3CrHg crystal, as listed in Alexandria via LeMat-Bulk.

Geometry as CIF:
```
data_Be3CrHg
_symmetry_space_group_name_H-M 'P 1'
_symmetry_Int_Tables_number 1
_symmetry_space_group_name_Hall 'P 1'
_cell_length_a 4.205
_cell_length_b 4.205
_cell_length_c 4.205
_cell_angle_alpha 90.00
_cell_angle_beta 90.00
_cell_angle_gamma 90.00
loop_
_atom_site_label
_atom_site_fract_x
_atom_site_fract_y
_atom_site_fract_z
_atom_site_occupancy
Be1 0.000 0.000 0.500 1
Be2 0.000 0.500 0.000 1
Be3 0.500 0.000 0.000 1
Cr1 0.000 0.000 0.000 1
Hg1 0.500 0.500 0.500 1
```

Values from the calculation:
Volume: 74.4 Å³ per cell
M_tot: 1.49 μB/f.u.


Short version: entry 1 is the most stable of them.


Entry 1
First-principles (GGA-PBE) data for a relaxed BeCrI3 crystal, as listed in Alexandria via LeMat-Bulk.

Geometry as CIF:
```
data_BeCrI3
_symmetry_space_group_name_H-M 'P 1'
_symmetry_Int_Tables_number 1
_symmetry_space_group_name_Hall 'P 1'
_cell_length_a 5.535
_cell_length_b 5.535
_cell_length_c 5.535
_cell_angle_alpha 90.00
_cell_angle_beta 90.00
_cell_angle_gamma 90.00
loop_
_atom_site_label
_atom_site_fract_x
_atom_site_fract_y
_atom_site_fract_z
_atom_site_occupancy
Be1 0.000 0.000 0.000 1
Cr1 0.500 0.500 0.500 1
I1 0.000 0.500 0.500 1
I2 0.500 0.000 0.500 1
I3 0.500 0.500 0.000 1
```

Values from the calculation:
Volume: 169.6 Å³ per cell
M_tot: 3.00 μB/f.u.


Entry 2
First-principles (GGA-PBE) data for a relaxed BeCrI3 crystal, as listed in Alexandria via LeMat-Bulk.

Geometry as CIF:
```
data_BeCrI3
_symmetry_space_group_name_H-M 'P 1'
_symmetry_Int_Tables_number 1
_symmetry_space_group_name_Hall 'P 1'
_cell_length_a 5.321
_cell_length_b 5.321
_cell_length_c 5.321
_cell_angle_alpha 90.00
_cell_angle_beta 90.00
_cell_angle_gamma 90.00
loop_
_atom_site_label
_atom_site_fract_x
_atom_site_fract_y
_atom_site_fract_z
_atom_site_occupancy
Be1 0.000 0.000 0.000 1
Cr1 0.500 0.500 0.500 1
I1 0.000 0.000 0.500 1
I2 0.000 0.500 0.000 1
I3 0.500 0.000 0.000 1
```

Values from the calculation:
Volume: 150.6 Å³ per cell
M_tot: 4.91 μB/f.u.


Short version: entry 2 is the most stable of them.